Entry 1:
Below is a relaxed structure of Zn3GaCu12, with properties calculated at the PBE level.

Summary:
* formation energy: -0.072 eV per atom

Cell lengths 3.6524, 3.6524, 14.9863 Å; angles 90.00, 90.00, 90.00 degrees
Closest atoms and distances in Å follow each position.
Space group P4/mmm (No. 123)
Inequivalent atoms, fractional coordinates:
Zn 0.0000 0.0000 0.0000 (multiplicity 1)  12 Cu 2.58-2.61
Zn 0.0000 0.0000 0.2499 (multiplicity 2)  12 Cu 2.58-2.62
Ga 0.0000 0.0000 0.5000 (multiplicity 1)  12 Cu 2.58-2.62
Cu 0.0000 0.5000 0.1249 (multiplicity 4)  8 Cu 2.58-2.61, 4 Zn 2.61-2.62
Cu 0.0000 0.5000 0.3747 (multiplicity 4)  8 Cu 2.58-2.62, 2 Zn 2.61, 2 Ga 2.62
Cu 0.5000 0.5000 0.0000 (multiplicity 1)  4 Zn 2.58, 8 Cu 2.61
Cu 0.5000 0.5000 0.2497 (multiplicity 2)  4 Zn 2.58, 8 Cu 2.61-2.62
Cu 0.5000 0.5000 0.5000 (multiplicity 1)  4 Ga 2.58, 8 Cu 2.62

***

Entry 2:
Below is a relaxed structure of Zn6GaCu12, with properties calculated at the PBE level.

Summary:
* polymorph energy (0 for the lowest one): 0 meV per atom
* formation energy: 0.002 eV per atom

Cell lengths 8.9780, 8.9780, 10.8139 Å; angles 90.00, 90.00, 120.00 degrees
Closest atoms and distances in Å follow each position.
Space group R-3 (No. 148, hexagonal axes)
Inequivalent atoms, fractional coordinates:
Zn 0.0138 0.5891 0.2022 (multiplicity 18)  8 Cu 2.45-2.68, 1 Ga 2.62, 2 Zn 2.70
Ga 0.0000 0.0000 0.5000 (multiplicity 3)  6 Cu 2.55, 6 Zn 2.62
Cu 0.0260 0.8461 0.3104 (multiplicity 18)  4 Cu 2.51-2.69, 4 Zn 2.54-2.68, 1 Ga 2.55
Cu 0.0585 0.2063 0.9130 (multiplicity 18)  4 Zn 2.45-2.62, 4 Cu 2.51-2.74

***

Entry 3:
Below is a relaxed structure of ZnGaCu, with properties calculated at the PBE level.

Summary:
* polymorph energy (0 for the lowest one): 46 meV per atom
* formation energy: -0.013 eV per atom

Cell lengths 5.8040, 5.8040, 5.8040 Å; angles 90.00, 90.00, 90.00 degrees
Closest atoms and distances in Å follow each position.
Space group F-43m (No. 216)
Inequivalent atoms, fractional coordinates:
Zn 0.0000 0.0000 0.0000 (multiplicity 4)  4 Cu 2.51
Ga 0.0000 0.0000 0.5000 (multiplicity 4)  4 Cu 2.51
Cu 0.2500 0.2500 0.7500 (multiplicity 4)  4 Zn 2.51, 4 Ga 2.51